Rb2ScCuO4 | PBE | optimized geometry

- formation energy from raw total energies (eV per atom) = -1.56
- uncorrected energy (eV/atom) = -5.583
- size of the total moment (Bohr magnetons per cell) = 0.00

Lattice parameters (Å, degrees): 5.417 12.889 21.505 90.00 90.00 90.00
Space group Fddd (No. 70, origin choice 2)
One atom of each set of equivalent atoms:
Rb: 0.125 0.125 0.311 x16
Sc: 0.125 0.125 0.125 x8
Cu: 0.125 0.125 0.625 x8
O: 0.112 0.278 0.847 x32